Entry 1:
Material: Zr2MoBr
Method: DFT, GGA-PBE
State: relaxed

Energy above the lowest structure with this stoichiometry: 1.95 eV per formula unit

abc: 3.238 4.608 5.634
angles: 90.00 90.00 90.00
Space group Pmm2 (No. 25)
Inequivalent atoms, fractional coordinates:
Zr: 0.000 0.000 0.000
Zr: 0.500 0.500 0.423
Mo: 0.500 0.500 0.953
Br: 0.000 0.000 0.504



Entry 2:
Material: RbNaGeSe3
Method: DFT, GGA-PBE
State: relaxed

abc: 9.313 9.668 9.867
angles: 90.00 97.04 90.00
Space group C2/m (No. 12)
Inequivalent atoms, fractional coordinates:
Rb: 0.196 0.000 0.123
Na: 0.000 0.274 0.500
Ge: 0.168 0.000 0.702
Se: 0.099 0.200 0.798
Se: 0.233 0.500 0.498



Entry 3:
Material: ScInGaPt2
Method: DFT, GGA-PBE
State: relaxed

Calculated formation energy: 0.3484 eV/atom

abc: 4.911 4.911 5.169
angles: 90.00 90.00 90.00
Space group P4/mmm (No. 123)
Inequivalent atoms, fractional coordinates:
Sc: 0.000 0.000 0.000
In: 0.500 0.500 0.500
Ga: 0.000 0.000 0.500
Pt: 0.000 0.500 0.000



Entry 4:
Material: Pd5Pb2Au2
Method: DFT, GGA-PBE
State: relaxed

Calculated formation energy: -0.1421 eV/atom

abc: 8.499 4.701 8.246
angles: 90.00 90.00 90.00
Space group Amm2 (No. 38)
Inequivalent atoms, fractional coordinates:
Pd: 0.000 0.000 0.000
Pd: 0.169 0.000 0.336
Pd: 0.329 0.000 0.670
Pb: 0.000 0.000 0.669
Pb: 0.500 0.000 0.336
Au: 0.319 0.000 0.002



Entry 5:
Material: SmZr3Sc7
Method: DFT, GGA-PBE
State: relaxed

Calculated formation energy: 0.2552 eV/atom

abc: 6.4734 6.4734 7.8211
angles: 90.00 90.00 120.00
Space group P3m1 (No. 156)
Inequivalent atoms, fractional coordinates:
Sm: 0.0000 0.0000 0.0000
Zr: 0.1692 0.3385 0.6533
Sc: 0.0023 0.5012 0.9812
Sc: 0.3333 0.6667 0.3255
Sc: 0.3341 0.1671 0.3384



Entry 6:
Material: HfCl2O
Method: DFT, GGA-PBE
State: relaxed

abc: 9.569 9.569 3.943
angles: 90.00 90.00 90.00
Space group I-42d (No. 122)
Inequivalent atoms, fractional coordinates:
Hf: 0.000 0.000 0.000
Cl: 0.087 0.250 0.125
O: 0.000 0.000 0.500



Entry 7:
Material: LaPmGdIn
Method: DFT, GGA-PBE
State: relaxed

Calculated formation energy: -0.1877 eV/atom

abc: 7.922 7.922 7.922
angles: 90.00 90.00 90.00
Space group F-43m (No. 216)
Inequivalent atoms, fractional coordinates:
La: 0.000 0.000 0.000
Pm: 0.000 0.000 0.500
Gd: 0.250 0.250 0.750
In: 0.250 0.250 0.250



Entry 8:
Material: VPdW2
Method: DFT, GGA-PBE
State: relaxed

Energy above the lowest structure with this stoichiometry: 2.24 eV per formula unit
Calculated formation energy: 0.6989 eV/atom

abc: 3.748 3.748 19.009
angles: 90.00 90.00 90.00
Space group I-42d (No. 122)
Inequivalent atoms, fractional coordinates:
V: 0.000 0.000 0.000
Pd: 0.000 0.000 0.500
W: 0.235 0.250 0.125



| no. | total energy (eV per cell) | calculated density (g cm⁻³) |
| --- | --- | --- |
| 1 | -29.00 | 7.08 |
| 2 | -87.23 | 3.15 |
| 3 | -22.44 | 8.25 |
| 4 | -82.43 | 13.51 |
| 5 | -71.88 | 4.32 |
| 6 | -109.16 | 4.88 |
| 7 | -108.99 | 7.43 |
| 8 | -149.69 | 13.06 |